Entry 1:
4
Lattice="2.178 1.257 8.671 -2.178 1.257 8.671 0.000 -2.515 8.671" Properties=species:S:1:pos:R:3 comment="PBE AcLaS2, optimized geometry" polymorph_energy_mev_per_atom=396 dft_energy_ev_per_atom=-6.015 pbc="T T T"
Ac 0.000 0.000 0.000
La 0.000 0.000 13.006
S 0.000 0.000 2.900
S 0.000 0.000 23.113

=====

Entry 2:
11
Lattice="4.961 -5.347 0.000 4.961 5.347 0.000 0.000 0.000 6.093" Properties=species:S:1:pos:R:3 comment="PBE Ac2La2S7, optimized geometry" dft_energy_ev_per_atom=-6.026 pbc="T T T"
Ac 2.429 0.000 0.000
Ac 7.493 0.000 0.000
La 4.961 2.856 3.047
La 4.961 -2.856 3.047
S 0.000 0.000 1.556
S 0.000 0.000 4.537
S 2.481 2.673 1.464
S 2.481 2.673 4.629
S 2.481 -2.673 1.464
S 2.481 -2.673 4.629
S 4.961 0.000 3.047

=====

no.,uncorrected formation energy (eV/atom),calculated volume (Å³/cell),calculated density (g cm⁻³)
1,-1.692,142.5,5.0
2,-1.757,323.3,4.9